# 1
! GGA-PBEsol Cr2CoAs, optimized geometry; values from VASP
! Spin magnetization ... 0.00 μB/f.u.
! Crystal system ... tetragonal
! Density of states at the Fermi level ... 2.1 states/eV/f.u.
! Volume ... 11.557 A^3/atom
! Calculated formation energy ... 0.173 eV per atom
&SYSTEM
  ibrav = 0, nat = 4, ntyp = 3
/
ATOMIC_SPECIES
Cr 52.00 Cr.upf
Co 58.93 Co.upf
As 74.92 As.upf
CELL_PARAMETERS angstrom
-0.152 -1.737 2.128
2.451 0.876 0.890
-2.752 4.319 3.329
ATOMIC_POSITIONS crystal
Cr 0.000 0.000 0.247
Cr 0.000 0.000 0.753
Co 0.500 0.500 0.500
As 0.500 0.500 0.000

***

# 2
! GGA-PBEsol TiVRu2, optimized geometry; values from VASP
! Spin magnetization ... 0.00 μB/f.u.
! Crystal system ... cubic
! Density of states at the Fermi level ... 3.1 states/eV/f.u.
! Volume ... 13.546 A^3/atom
! Calculated formation energy ... -0.461 eV per atom
&SYSTEM
  ibrav = 0, nat = 4, ntyp = 3
/
ATOMIC_SPECIES
Ru 101.07 Ru.upf
V 50.94 V.upf
Ti 47.87 Ti.upf
CELL_PARAMETERS angstrom
-3.057 -1.404 -2.593
-0.426 -4.164 -0.721
-3.333 -2.100 1.588
ATOMIC_POSITIONS crystal
Ru 0.750 0.750 0.750
Ru 0.250 0.250 0.250
V 0.000 0.000 0.000
Ti 0.500 0.500 0.500

***

# 3
! GGA-PBEsol BaMgP2O, optimized geometry; values from VASP
! Spin magnetization ... 0.02 μB/f.u.
! Crystal system ... tetragonal
! Density of states at the Fermi level ... 4.9 states/eV/f.u.
! Volume ... 21.073 A^3/atom
! Formation energy without anion corrections ... -0.4059 eV/atom
&SYSTEM
  ibrav = 0, nat = 5, ntyp = 4
/
ATOMIC_SPECIES
Mg 24.30 Mg.upf
P 30.97 P.upf
O 16.00 O.upf
Ba 137.33 Ba.upf
CELL_PARAMETERS angstrom
3.816 0.000 0.000
0.000 5.255 0.000
0.000 0.000 5.255
ATOMIC_POSITIONS crystal
Mg 0.000 0.000 0.000
P 0.000 0.500 0.000
P 0.000 0.000 0.500
O 0.500 0.000 0.000
Ba 0.500 0.500 0.500

***

# 4
! GGA-PBEsol TiTeC3, optimized geometry; values from VASP
! Spin magnetization ... 0.00 μB/f.u.
! Crystal system ... cubic
! Density of states at the Fermi level ... 3.5 states/eV/f.u.
! Volume ... 13.603 A^3/atom
! Formation energy without anion corrections ... 1.9739 eV/atom
&SYSTEM
  ibrav = 0, nat = 5, ntyp = 3
/
ATOMIC_SPECIES
C 12.01 C.upf
Te 127.60 Te.upf
Ti 47.87 Ti.upf
CELL_PARAMETERS angstrom
-1.791 -3.663 -0.195
0.108 -0.270 4.072
-3.666 1.782 0.216
ATOMIC_POSITIONS crystal
C 0.500 0.000 0.000
C 0.000 0.000 0.500
C 0.000 0.500 0.000
Te 0.500 0.500 0.500
Ti 0.000 0.000 0.000

***

# 5
! GGA-PBEsol K3Ba, optimized geometry; values from VASP
! Spin magnetization ... 0.01 μB/f.u.
! Crystal system ... trigonal
! Density of states at the Fermi level ... 5.1 states/eV/f.u.
! Volume ... 66.811 A^3/atom
! Calculated formation energy ... 0.102 eV per atom
&SYSTEM
  ibrav = 0, nat = 4, ntyp = 2
/
ATOMIC_SPECIES
K 39.10 K.upf
Ba 137.33 Ba.upf
CELL_PARAMETERS angstrom
-0.372 2.502 -3.580
4.551 -6.452 -3.194
-8.232 -1.478 1.612
ATOMIC_POSITIONS crystal
K 0.500 0.000 0.500
K 0.500 0.500 0.000
K 0.000 0.500 0.500
Ba 0.000 0.000 0.000

***

# 6
! GGA-PBEsol YCu2Ge2, optimized geometry; values from VASP
! Spin magnetization ... 0.00 μB/f.u.
! Crystal system ... tetragonal
! Density of states at the Fermi level ... 1.3 states/eV/f.u.
! Volume ... 16.264 A^3/atom
! Calculated formation energy ... -0.562 eV per atom
&SYSTEM
  ibrav = 0, nat = 5, ntyp = 3
/
ATOMIC_SPECIES
Cu 63.55 Cu.upf
Ge 72.64 Ge.upf
Y 88.91 Y.upf
CELL_PARAMETERS angstrom
-0.742 -1.495 3.628
-0.633 -3.598 -1.613
5.632 1.430 -0.457
ATOMIC_POSITIONS crystal
Cu 0.750 0.250 0.500
Cu 0.250 0.750 0.500
Ge 0.381 0.381 0.761
Ge 0.619 0.619 0.239
Y 0.000 0.000 0.000

***

# 7
! GGA-PBEsol V2ReW, optimized geometry; values from VASP
! Spin magnetization ... 0.00 μB/f.u.
! Crystal system ... cubic
! Density of states at the Fermi level ... 1.8 states/eV/f.u.
! Volume ... 13.864 A^3/atom
! Calculated formation energy ... -0.254 eV per atom
&SYSTEM
  ibrav = 0, nat = 4, ntyp = 3
/
ATOMIC_SPECIES
V 50.94 V.upf
W 183.84 W.upf
Re 186.21 Re.upf
CELL_PARAMETERS angstrom
-0.304 -4.202 0.757
2.605 -2.732 -2.017
3.090 -2.012 2.174
ATOMIC_POSITIONS crystal
V 0.250 0.250 0.250
V 0.750 0.750 0.750
W 0.500 0.500 0.500
Re 0.000 0.000 0.000

***

# 8
! GGA-PBEsol CaOsBr, optimized geometry; values from VASP
! Spin magnetization ... 0.00 μB/f.u.
! Crystal system ... hexagonal
! Density of states at the Fermi level ... 2.4 states/eV/f.u.
! Volume ... 19.061 A^3/atom
! Formation energy without anion corrections ... 0.3620 eV/atom
&SYSTEM
  ibrav = 0, nat = 3, ntyp = 3
/
ATOMIC_SPECIES
Os 190.23 Os.upf
Ca 40.08 Ca.upf
Br 79.90 Br.upf
CELL_PARAMETERS angstrom
-1.054 1.875 2.595
-2.192 -3.484 1.628
4.203 0.721 1.186
ATOMIC_POSITIONS crystal
Os 0.500 0.667 0.333
Ca 0.000 0.333 0.667
Br 0.500 0.000 0.000